# DyAlZn PBE-GGA relaxed
# Energy relative to the elements in kJ/mol of atoms: -43.6
# M_tot in μB/atom: 0.0001
# Density in g cm⁻³: 6.8
# VASP energy in Ry/atom: -0.2689
data_DyAlZn
_space_group_name_H-M_alt 'C 1 2/m 1'
_space_group_IT_number 12
_cell_length_a 10.454
_cell_length_b 4.475
_cell_length_c 7.163
_cell_angle_alpha 90.00
_cell_angle_beta 132.36
_cell_angle_gamma 90.00
loop_
_space_group_symop_operation_xyz
'x,y,z'
'-x,-y,-z'
'-x,y,-z'
'x,-y,z'
'x+1/2,y+1/2,z'
'-x+1/2,-y+1/2,-z'
'-x+1/2,y+1/2,-z'
'x+1/2,-y+1/2,z'
loop_
_atom_site_label
_atom_site_type_symbol
_atom_site_fract_x
_atom_site_fract_y
_atom_site_fract_z
Dy1 Dy 0.030 0.000 0.283
Al1 Al 0.165 0.500 0.124
Zn1 Zn 0.164 0.500 0.707

***

# Dy3Al3Zn PBE-GGA relaxed
# Energy relative to the elements in kJ/mol of atoms: -39.8
# M_tot in μB/atom: 0.0001
# Density in g cm⁻³: 6.5
# VASP energy in Ry/atom: -0.3066
data_Dy3Al3Zn
_space_group_name_H-M_alt 'C 1 2/m 1'
_space_group_IT_number 12
_cell_length_a 10.818
_cell_length_b 4.467
_cell_length_c 14.306
_cell_angle_alpha 90.00
_cell_angle_beta 109.50
_cell_angle_gamma 90.00
loop_
_space_group_symop_operation_xyz
'x,y,z'
'-x,-y,-z'
'-x,y,-z'
'x,-y,z'
'x+1/2,y+1/2,z'
'-x+1/2,-y+1/2,-z'
'-x+1/2,y+1/2,-z'
'x+1/2,-y+1/2,z'
loop_
_atom_site_label
_atom_site_type_symbol
_atom_site_fract_x
_atom_site_fract_y
_atom_site_fract_z
Dy1 Dy 0.040 0.000 0.383
Dy2 Dy 0.100 0.000 0.919
Dy3 Dy 0.244 0.000 0.221
Al1 Al 0.039 0.500 0.235
Al2 Al 0.111 0.500 0.074
Al3 Al 0.132 0.500 0.545
Zn1 Zn 0.248 0.500 0.393